LiTm2Br5: relaxed, PBE.

## Properties
The calculation puts the uncorrected formation energy at -1.41 eV/atom. The space-group type is C2/c.

Cell and atoms, written as POSCAR:
```
LiTm2Br5
1.0
-4.364 5.343 -8.271
-3.885 -1.199 -9.974
-8.009 -0.338 -0.951
Li Tm Br
2 4 10
direct
0.500 0.000 0.500 Li
0.000 0.500 0.000 Li
0.722 0.185 0.995 Tm
0.278 0.815 0.005 Tm
0.815 0.278 0.505 Tm
0.185 0.722 0.495 Tm
0.898 0.102 0.250 Br
0.102 0.898 0.750 Br
0.738 0.884 0.189 Br
0.262 0.116 0.811 Br
0.116 0.262 0.311 Br
0.884 0.738 0.689 Br
0.521 0.663 0.256 Br
0.479 0.337 0.744 Br
0.337 0.479 0.244 Br
0.663 0.521 0.756 Br
```